1.
A plane-wave DFT calculation with PBE was carried out for a geometry-optimized Tb2ErCuS5 structure.

Summary:
Its space group is Cmc2_1, No. 36. Its final energy is -108.21 eV/cell.

a = 3.830 Å, b = 8.533 Å, c = 11.440 Å
α = 90.00°, β = 90.00°, γ = 102.97°
Atoms (fractional coordinates):
S: 0.316 0.631 0.345
S: 0.043 0.085 0.064
S: 0.498 0.995 0.779
S: 0.289 0.577 0.676
S: 0.502 0.005 0.279
S: 0.358 0.716 0.001
S: 0.642 0.284 0.501
S: 0.684 0.369 0.845
S: 0.957 0.915 0.564
S: 0.711 0.423 0.176
Tb: 0.121 0.242 0.308
Tb: 0.893 0.786 0.185
Tb: 0.107 0.214 0.685
Tb: 0.879 0.758 0.808
Er: 0.195 0.390 0.010
Er: 0.805 0.610 0.510
Cu: 0.558 0.116 0.956
Cu: 0.442 0.884 0.456

***

2.
A plane-wave DFT calculation with PBE was carried out for a geometry-optimized TbEr2CuS5 structure.

Summary:
Its space group is Cmc2_1, No. 36. Its final energy is -107.29 eV/cell.

a = 3.797 Å, b = 8.707 Å, c = 11.276 Å
α = 90.00°, β = 90.00°, γ = 102.59°
Atoms (fractional coordinates):
S: 0.293 0.585 0.684
S: 0.677 0.355 0.839
S: 0.323 0.645 0.339
S: 0.358 0.717 0.002
S: 0.503 0.006 0.279
S: 0.497 0.994 0.779
S: 0.707 0.415 0.184
S: 0.642 0.283 0.502
S: 0.042 0.085 0.065
S: 0.958 0.915 0.565
Er: 0.884 0.767 0.807
Er: 0.898 0.795 0.183
Er: 0.116 0.233 0.307
Er: 0.102 0.205 0.683
Cu: 0.441 0.881 0.455
Cu: 0.559 0.119 0.955
Tb: 0.805 0.611 0.510
Tb: 0.195 0.389 0.010

***

3.
A plane-wave DFT calculation with PBE was carried out for a geometry-optimized Tb3Er3CuS8 structure.

Summary:
Its space group is R-3m, No. 166. Its final energy is -92.03 eV/cell.

a = 7.728 Å, b = 7.728 Å, c = 7.738 Å
α = 119.95°, β = 90.00°, γ = 120.00°
Atoms (fractional coordinates):
S: 0.755 0.003 0.259
S: 0.245 0.489 0.741
S: 0.245 0.997 0.741
S: 0.752 0.997 0.741
S: 0.252 0.503 0.255
S: 0.748 0.497 0.745
S: 0.248 0.003 0.259
S: 0.755 0.511 0.259
Tb: 0.000 0.500 0.000
Tb: 0.500 0.500 0.000
Tb: 0.000 0.000 0.000
Cu: 0.000 0.000 0.500
Er: 0.000 0.500 0.500
Er: 0.500 0.000 0.500
Er: 0.500 0.500 0.500

***

4.
A plane-wave DFT calculation with PBE was carried out for a geometry-optimized Er4CuTe2S structure.

Summary:
Its space group is P2/m, No. 10. Its final energy is -42.07 eV/cell.

a = 4.006 Å, b = 7.227 Å, c = 7.316 Å
α = 108.10°, β = 90.00°, γ = 90.00°
Atoms (fractional coordinates):
S: 0.000 0.000 0.000
Er: 0.000 0.269 0.788
Er: 0.500 0.237 0.213
Er: 0.500 0.763 0.787
Er: 0.000 0.731 0.212
Cu: 0.500 0.500 0.000
Te: 0.000 0.500 0.500
Te: 0.500 0.000 0.500

***

Number 1: M_tot 0.0 μB/f.u., uncorrected formation energy -1.728 eV per atom. Number 2: M_tot 0.0 μB/f.u., uncorrected formation energy -1.684 eV per atom. Number 3: M_tot 0.0 μB/f.u., uncorrected formation energy -1.823 eV per atom. Number 4: M_tot 0.0 μB/f.u., uncorrected formation energy -1.164 eV per atom.